Here is Sr2ZnWO6 after structural relaxation from Alexandria. Energies are from PBE with a Hubbard U.

Cell and atoms, written as POSCAR:
```
Sr2ZnWO6
1.0
-2.5281 -1.1143 4.9869
2.2351 -5.2443 -0.0388
8.7235 -2.5149 3.8605
O W Sr Zn
12 2 4 2
direct
0.2114 0.7977 0.9691
0.2317 0.2581 0.5327
0.7886 0.2023 0.0309
0.2683 0.2581 0.0327
0.5110 0.3219 0.7389
0.7317 0.7419 0.9673
0.0110 0.6781 0.7611
0.2886 0.7977 0.4691
0.7683 0.7419 0.4673
0.7114 0.2023 0.5309
0.4890 0.6781 0.2611
0.9890 0.3219 0.2389
0.5000 0.5000 0.5000
0.0000 0.5000 0.0000
0.4755 0.7552 0.7493
0.5245 0.2448 0.2507
0.9755 0.2448 0.7507
0.0245 0.7552 0.2493
0.0000 0.0000 0.5000
0.5000 0.0000 0.0000
```

Computed properties:
Electronic total energy in eV/f.u.: -65.6
Spin magnetization in μB/cell: 0.00
Space group: No. 14

=====

Here is Sr2ZnWO6 after structural relaxation from Alexandria. Energies are from PBE with a Hubbard U.

Cell and atoms, written as POSCAR:
```
Sr2ZnWO6
1.0
-1.3648 -2.2613 4.9988
-4.9453 -1.7247 -2.1292
4.8690 -1.5339 -2.5615
W O Zn Sr
1 6 1 2
direct
0.5000 0.5000 0.0000
0.2603 0.2606 0.5210
0.3066 0.7862 0.0003
0.6934 0.2138 0.9997
0.7859 0.6934 0.9999
0.7397 0.7394 0.4790
0.2141 0.3066 0.0001
0.0000 0.0000 0.0000
0.7500 0.2500 0.5000
0.2500 0.7500 0.5000
```

Computed properties:
Electronic total energy in eV/f.u.: -65.5
Spin magnetization in μB/cell: 0.00
Space group: No. 87

=====

Here is SrZnW2O8 after structural relaxation from Alexandria. Energies are from PBE with a Hubbard U.

Cell and atoms, written as POSCAR:
```
SrZnW2O8
1.0
6.2405 0.1675 0.0000
-2.6176 5.6674 0.0000
-1.8114 -2.9175 5.2133
Zn O Sr W
1 8 1 2
direct
0.2500 0.7500 0.5000
0.9155 0.2258 0.3103
0.4567 0.6574 0.7993
0.3426 0.5433 0.2007
0.7742 0.0845 0.6897
0.3948 0.0845 0.3103
0.9155 0.6052 0.6897
0.8581 0.6574 0.2007
0.3426 0.1419 0.7993
0.0000 0.0000 0.0000
0.5000 0.5000 0.0000
0.7500 0.2500 0.5000
```

Computed properties:
Electronic total energy in eV/f.u.: -80.4
Spin magnetization in μB/cell: 0.00
Space group: No. 119

=====

Here is SrZr2WO8 after structural relaxation from Alexandria. Energies are from PBE with a Hubbard U.

Cell and atoms, written as POSCAR:
```
SrZr2WO8
1.0
4.9646 0.0645 -0.0035
0.1035 4.9588 -0.0057
0.0043 0.0073 6.7708
Zr O Sr W
2 8 1 1
direct
0.5000 0.5000 0.7456
0.5000 0.5000 0.2544
0.1991 0.7996 0.7978
0.6710 0.6734 0.5000
0.8008 0.2003 0.7978
0.1992 0.7997 0.2022
0.7177 0.7187 0.0000
0.3290 0.3266 0.5000
0.2823 0.2813 0.0000
0.8009 0.2004 0.2022
0.0000 0.0000 0.5000
0.0000 0.0000 0.0000
```

Computed properties:
Electronic total energy in eV/f.u.: -99.2
Spin magnetization in μB/cell: 0.00
Space group: No. 10